(i)
# TaTlCoAg, optimized geometry, DFT PBE
data_TaTlCoAg
_cell_length_a 4.591
_cell_length_b 4.591
_cell_length_c 4.591
_cell_angle_alpha 60.00
_cell_angle_beta 60.00
_cell_angle_gamma 60.00
_symmetry_space_group_name_H-M 'P 1'
_symmetry_Int_Tables_number 1
_symmetry_space_group_name_Hall 'P 1'
loop_
_atom_site_label
_atom_site_type_symbol
_atom_site_fract_x
_atom_site_fract_y
_atom_site_fract_z
Tl1 Tl 0.000 0.000 0.000
Ta1 Ta 0.250 0.250 0.250
Co1 Co 0.750 0.750 0.750
Ag1 Ag 0.500 0.500 0.500
# symmetry: F-43m
# size of the total moment: 0.561 μB/f.u.


(ii)
# TaTlCoAg, optimized geometry, DFT PBE
data_TaTlCoAg
_cell_length_a 4.571
_cell_length_b 4.571
_cell_length_c 4.571
_cell_angle_alpha 60.00
_cell_angle_beta 60.00
_cell_angle_gamma 60.00
_symmetry_space_group_name_H-M 'P 1'
_symmetry_Int_Tables_number 1
_symmetry_space_group_name_Hall 'P 1'
loop_
_atom_site_label
_atom_site_type_symbol
_atom_site_fract_x
_atom_site_fract_y
_atom_site_fract_z
Ag1 Ag 0.250 0.250 0.250
Tl1 Tl 0.000 0.000 0.000
Ta1 Ta 0.500 0.500 0.500
Co1 Co 0.750 0.750 0.750
# symmetry: F-43m
# size of the total moment: 0.000 μB/f.u.


Which of them is the most stable, and which is the least stable? (ii) and (i), in that order.


(i)
# YTlCoAg, optimized geometry, DFT PBE
data_YTlCoAg
_cell_length_a 4.850
_cell_length_b 4.850
_cell_length_c 4.850
_cell_angle_alpha 60.00
_cell_angle_beta 60.00
_cell_angle_gamma 60.00
_symmetry_space_group_name_H-M 'P 1'
_symmetry_Int_Tables_number 1
_symmetry_space_group_name_Hall 'P 1'
loop_
_atom_site_label
_atom_site_type_symbol
_atom_site_fract_x
_atom_site_fract_y
_atom_site_fract_z
Ag1 Ag 0.500 0.500 0.500
Tl1 Tl 0.000 0.000 0.000
Co1 Co 0.750 0.750 0.750
Y1 Y 0.250 0.250 0.250
# symmetry: F-43m
# size of the total moment: 1.540 μB/f.u.


(ii)
# YTlCoAg, optimized geometry, DFT PBE
data_YTlCoAg
_cell_length_a 4.839
_cell_length_b 4.839
_cell_length_c 4.839
_cell_angle_alpha 60.00
_cell_angle_beta 60.00
_cell_angle_gamma 60.00
_symmetry_space_group_name_H-M 'P 1'
_symmetry_Int_Tables_number 1
_symmetry_space_group_name_Hall 'P 1'
loop_
_atom_site_label
_atom_site_type_symbol
_atom_site_fract_x
_atom_site_fract_y
_atom_site_fract_z
Y1 Y 0.500 0.500 0.500
Co1 Co 0.750 0.750 0.750
Ag1 Ag 0.250 0.250 0.250
Tl1 Tl 0.000 0.000 0.000
# symmetry: F-43m
# size of the total moment: 1.341 μB/f.u.


Which of them is the most stable, and which is the least stable? (ii) and (i), in that order.


(i)
# CsCuAg, optimized geometry, DFT PBE
data_CsCuAg
_cell_length_a 5.309
_cell_length_b 5.309
_cell_length_c 5.309
_cell_angle_alpha 60.00
_cell_angle_beta 60.00
_cell_angle_gamma 60.00
_symmetry_space_group_name_H-M 'P 1'
_symmetry_Int_Tables_number 1
_symmetry_space_group_name_Hall 'P 1'
loop_
_atom_site_label
_atom_site_type_symbol
_atom_site_fract_x
_atom_site_fract_y
_atom_site_fract_z
Cs1 Cs 0.750 0.750 0.750
Ag1 Ag 0.250 0.250 0.250
Cu1 Cu 0.000 0.000 0.000
# symmetry: F-43m


(ii)
# CsCuAg, optimized geometry, DFT PBE
data_CsCuAg
_cell_length_a 5.338
_cell_length_b 5.338
_cell_length_c 5.338
_cell_angle_alpha 60.00
_cell_angle_beta 60.00
_cell_angle_gamma 60.00
_symmetry_space_group_name_H-M 'P 1'
_symmetry_Int_Tables_number 1
_symmetry_space_group_name_Hall 'P 1'
loop_
_atom_site_label
_atom_site_type_symbol
_atom_site_fract_x
_atom_site_fract_y
_atom_site_fract_z
Cu1 Cu 0.750 0.750 0.750
Cs1 Cs 0.250 0.250 0.250
Ag1 Ag 0.000 0.000 0.000
# symmetry: F-43m


Which of them is the most stable, and which is the least stable? (i) and (ii), in that order.


(i)
# CsAg3GeS4, optimized geometry, DFT PBE
data_CsAg3GeS4
_cell_length_a 6.357
_cell_length_b 7.621
_cell_length_c 10.576
_cell_angle_alpha 90.00
_cell_angle_beta 105.71
_cell_angle_gamma 90.00
_symmetry_space_group_name_H-M 'P 1'
_symmetry_Int_Tables_number 1
_symmetry_space_group_name_Hall 'P 1'
loop_
_atom_site_label
_atom_site_type_symbol
_atom_site_fract_x
_atom_site_fract_y
_atom_site_fract_z
Ag1 Ag 0.072 0.250 0.213
Ag2 Ag 0.928 0.750 0.787
Ag3 Ag 0.802 0.948 0.537
Ag4 Ag 0.802 0.552 0.537
Ag5 Ag 0.198 0.448 0.463
Ag6 Ag 0.198 0.052 0.463
Cs1 Cs 0.334 0.750 0.141
Cs2 Cs 0.666 0.250 0.859
S1 S 0.542 0.250 0.482
S2 S 0.167 0.507 0.715
S3 S 0.833 0.493 0.285
S4 S 0.167 0.993 0.715
S5 S 0.458 0.750 0.518
S6 S 0.642 0.750 0.898
S7 S 0.358 0.250 0.102
S8 S 0.833 0.007 0.285
Ge1 Ge 0.627 0.250 0.285
Ge2 Ge 0.373 0.750 0.715
# symmetry: P2_1/m


(ii)
# CsAg3GeS4, optimized geometry, DFT PBE
data_CsAg3GeS4
_cell_length_a 6.479
_cell_length_b 6.479
_cell_length_c 6.479
_cell_angle_alpha 90.00
_cell_angle_beta 90.00
_cell_angle_gamma 90.00
_symmetry_space_group_name_H-M 'P 1'
_symmetry_Int_Tables_number 1
_symmetry_space_group_name_Hall 'P 1'
loop_
_atom_site_label
_atom_site_type_symbol
_atom_site_fract_x
_atom_site_fract_y
_atom_site_fract_z
S1 S 0.700 0.300 0.700
S2 S 0.300 0.300 0.300
S3 S 0.300 0.700 0.700
S4 S 0.700 0.700 0.300
Ag1 Ag 0.000 0.500 0.500
Ag2 Ag 0.500 0.500 0.000
Ag3 Ag 0.500 0.000 0.500
Cs1 Cs 0.000 0.000 0.000
Ge1 Ge 0.500 0.500 0.500
# symmetry: P-43m


Which of them is the most stable, and which is the least stable? (i) and (ii), in that order.


(i)
# CsAgGeS3, optimized geometry, DFT PBE
data_CsAgGeS3
_cell_length_a 8.929
_cell_length_b 3.864
_cell_length_c 9.722
_cell_angle_alpha 90.00
_cell_angle_beta 113.14
_cell_angle_gamma 90.00
_symmetry_space_group_name_H-M 'P 1'
_symmetry_Int_Tables_number 1
_symmetry_space_group_name_Hall 'P 1'
loop_
_atom_site_label
_atom_site_type_symbol
_atom_site_fract_x
_atom_site_fract_y
_atom_site_fract_z
Ag1 Ag 0.957 0.750 0.395
Ag2 Ag 0.043 0.250 0.605
Ge1 Ge 0.668 0.250 0.134
Ge2 Ge 0.332 0.750 0.866
S1 S 0.846 0.750 0.119
S2 S 0.747 0.250 0.399
S3 S 0.471 0.750 0.128
S4 S 0.154 0.250 0.881
S5 S 0.253 0.750 0.601
S6 S 0.529 0.250 0.872
Cs1 Cs 0.755 0.750 0.723
Cs2 Cs 0.245 0.250 0.277
# symmetry: P2_1/m


(ii)
# CsAgGeS3, optimized geometry, DFT PBE
data_CsAgGeS3
_cell_length_a 8.171
_cell_length_b 8.171
_cell_length_c 10.480
_cell_angle_alpha 90.00
_cell_angle_beta 90.00
_cell_angle_gamma 26.06
_symmetry_space_group_name_H-M 'P 1'
_symmetry_Int_Tables_number 1
_symmetry_space_group_name_Hall 'P 1'
loop_
_atom_site_label
_atom_site_type_symbol
_atom_site_fract_x
_atom_site_fract_y
_atom_site_fract_z
Cs1 Cs 0.232 0.232 0.250
Cs2 Cs 0.768 0.768 0.750
Ag1 Ag 0.067 0.067 0.750
Ag2 Ag 0.933 0.933 0.250
S1 S 0.893 0.893 0.476
S2 S 0.456 0.456 0.750
S3 S 0.107 0.107 0.976
S4 S 0.107 0.107 0.524
S5 S 0.544 0.544 0.250
S6 S 0.893 0.893 0.024
Ge1 Ge 0.500 0.500 0.000
Ge2 Ge 0.500 0.500 0.500
# symmetry: Cmcm


Which of them is the most stable, and which is the least stable? (i) and (ii), in that order.


(i)
# CsAg3GeSe4, optimized geometry, DFT PBE
data_CsAg3GeSe4
_cell_length_a 6.540
_cell_length_b 7.926
_cell_length_c 10.837
_cell_angle_alpha 90.00
_cell_angle_beta 106.19
_cell_angle_gamma 90.00
_symmetry_space_group_name_H-M 'P 1'
_symmetry_Int_Tables_number 1
_symmetry_space_group_name_Hall 'P 1'
loop_
_atom_site_label
_atom_site_type_symbol
_atom_site_fract_x
_atom_site_fract_y
_atom_site_fract_z
Ag1 Ag 0.805 0.556 0.532
Ag2 Ag 0.195 0.056 0.468
Ag3 Ag 0.195 0.444 0.468
Ag4 Ag 0.083 0.250 0.226
Ag5 Ag 0.917 0.750 0.774
Ag6 Ag 0.805 0.944 0.532
Se1 Se 0.340 0.250 0.087
Se2 Se 0.167 0.002 0.721
Se3 Se 0.456 0.750 0.515
Se4 Se 0.544 0.250 0.485
Se5 Se 0.167 0.498 0.721
Se6 Se 0.660 0.750 0.913
Se7 Se 0.833 0.998 0.279
Se8 Se 0.833 0.502 0.279
Cs1 Cs 0.299 0.750 0.134
Cs2 Cs 0.701 0.250 0.866
Ge1 Ge 0.623 0.250 0.278
Ge2 Ge 0.377 0.750 0.722
# symmetry: P2_1/m


(ii)
# CsAg3GeSe4, optimized geometry, DFT PBE
data_CsAg3GeSe4
_cell_length_a 6.737
_cell_length_b 6.737
_cell_length_c 6.737
_cell_angle_alpha 90.00
_cell_angle_beta 90.00
_cell_angle_gamma 90.00
_symmetry_space_group_name_H-M 'P 1'
_symmetry_Int_Tables_number 1
_symmetry_space_group_name_Hall 'P 1'
loop_
_atom_site_label
_atom_site_type_symbol
_atom_site_fract_x
_atom_site_fract_y
_atom_site_fract_z
Se1 Se 0.296 0.296 0.296
Se2 Se 0.296 0.704 0.704
Se3 Se 0.704 0.296 0.704
Se4 Se 0.704 0.704 0.296
Ag1 Ag 0.000 0.500 0.500
Ag2 Ag 0.500 0.000 0.500
Ag3 Ag 0.500 0.500 0.000
Ge1 Ge 0.500 0.500 0.500
Cs1 Cs 0.000 0.000 0.000
# symmetry: P-43m


Which of them is the most stable, and which is the least stable? (i) and (ii), in that order.